No. 1
First-principles (PBE) data for CsV3Se after structural relaxation, as listed in Alexandria.

Results
**Energy above the lowest structure with this stoichiometry**: 0.00 eV per formula unit
**Spin magnetization**: 12.1 μB per formula unit

Lattice parameters (Å, degrees): 5.163 5.163 5.163 90.00 90.00 90.00
Each line ends with the local moment (μB).
Element x y z (fractional)
Cs1 0.500 0.500 0.500  0.17
Se1 0.000 0.000 0.000  -0.07
V1 0.500 0.000 0.000  3.03
V2 0.000 0.000 0.500  3.03
V3 0.000 0.500 0.000  3.03

---

No. 2
First-principles (PBE) data for Cs3VSe4 after structural relaxation, as listed in Alexandria.

Results
**Final energy**: -138.43 eV/cell
**Spin magnetization**: 0.0 μB per formula unit

Lattice parameters (Å, degrees): 10.257 10.282 12.099 90.00 90.00 90.00
Element x y z (fractional)
Se1 0.209 0.740 0.250
Se2 0.514 0.068 0.250
Se3 0.670 0.548 0.907
Se4 0.709 0.760 0.250
Se5 0.014 0.432 0.250
Se6 0.791 0.260 0.750
Se7 0.170 0.952 0.907
Se8 0.330 0.452 0.093
Se9 0.170 0.952 0.593
Se10 0.486 0.932 0.750
Se11 0.830 0.048 0.093
Se12 0.986 0.568 0.750
Se13 0.291 0.240 0.750
Se14 0.330 0.452 0.407
Se15 0.830 0.048 0.407
Se16 0.670 0.548 0.593
Cs1 0.954 0.707 0.457
Cs2 0.854 0.911 0.750
Cs3 0.146 0.089 0.250
Cs4 0.546 0.207 0.957
Cs5 0.646 0.411 0.250
Cs6 0.046 0.293 0.957
Cs7 0.454 0.793 0.457
Cs8 0.546 0.207 0.543
Cs9 0.454 0.793 0.043
Cs10 0.354 0.589 0.750
Cs11 0.046 0.293 0.543
Cs12 0.954 0.707 0.043
V1 0.278 0.017 0.750
V2 0.222 0.517 0.250
V3 0.778 0.483 0.750
V4 0.722 0.983 0.250

---

No. 3
First-principles (PBE) data for Cs2VSe3 after structural relaxation, as listed in Alexandria.

Results
**Final energy**: -109.56 eV/cell
**Spin magnetization**: 1.0 μB per formula unit

Lattice parameters (Å, degrees): 7.497 8.308 17.103 90.01 90.02 63.18
Each line ends with the local moment (μB).
Element x y z (fractional)
Cs1 0.567 0.369 0.353  0.00
Cs2 0.643 0.216 0.927  0.00
Cs3 0.141 0.216 0.573  0.00
Cs4 0.357 0.784 0.073  0.00
Cs5 0.859 0.784 0.427  0.00
Cs6 0.433 0.631 0.647  0.00
Cs7 0.064 0.369 0.147  0.00
Cs8 0.936 0.631 0.853  0.00
Se1 0.837 0.826 0.060  -0.02
Se2 0.099 0.304 0.361  -0.04
Se3 0.962 0.076 0.750  -0.05
Se4 0.596 0.304 0.139  -0.04
Se5 0.901 0.696 0.639  -0.04
Se6 0.663 0.174 0.560  -0.02
Se7 0.460 0.079 0.750  -0.05
Se8 0.540 0.921 0.250  -0.05
Se9 0.038 0.924 0.250  -0.05
Se10 0.404 0.696 0.861  -0.04
Se11 0.163 0.174 0.940  -0.02
Se12 0.337 0.826 0.440  -0.02
V1 0.751 0.997 0.671  1.03
V2 0.252 0.997 0.829  1.03
V3 0.249 0.003 0.329  1.03
V4 0.748 0.003 0.171  1.03

---

No. 4
First-principles (PBE) data for Cs2V2Se5 after structural relaxation, as listed in Alexandria.

Results
**Final energy**: -45.03 eV/cell
**Spin magnetization**: 2.0 μB per formula unit

Lattice parameters (Å, degrees): 4.951 7.365 9.031 99.52 90.00 109.64
Each line ends with the local moment (μB).
Element x y z (fractional)
V1 0.148 0.296 0.900  1.14
V2 0.852 0.704 0.100  1.14
Cs1 0.592 0.184 0.314  0.00
Cs2 0.408 0.816 0.686  0.00
Se1 0.873 0.746 0.355  -0.08
Se2 0.127 0.254 0.645  -0.08
Se3 0.316 0.631 0.046  -0.08
Se4 0.684 0.369 0.954  -0.08
Se5 0.000 0.000 0.000  -0.09

---

No. 5
First-principles (PBE) data for CsV5Se8 after structural relaxation, as listed in Alexandria.

Results
**Final energy**: -85.27 eV/cell
**Spin magnetization**: 9.9 μB per formula unit

Lattice parameters (Å, degrees): 9.617 9.617 9.137 76.07 76.07 22.23
Each line ends with the local moment (μB).
Element x y z (fractional)
Se1 0.241 0.241 0.843  -0.09
Se2 0.759 0.759 0.157  -0.09
Se3 0.165 0.165 0.514  -0.10
Se4 0.090 0.090 0.168  -0.10
Se5 0.428 0.428 0.170  -0.10
Se6 0.910 0.910 0.832  -0.10
Se7 0.572 0.572 0.830  -0.10
Se8 0.835 0.835 0.486  -0.10
V1 0.000 0.000 0.000  1.88
V2 0.347 0.347 0.997  1.89
V3 0.653 0.653 0.003  1.89
V4 0.288 0.288 0.345  1.96
V5 0.712 0.712 0.655  1.96
Cs1 0.500 0.500 0.500  0.00

---

No. 6
First-principles (PBE) data for Cs3VSe after structural relaxation, as listed in Alexandria.

Results
**Energy above the lowest structure with this stoichiometry**: 0.00 eV per formula unit
**Spin magnetization**: 4.0 μB per formula unit

Lattice parameters (Å, degrees): 6.991 6.991 6.991 90.00 90.00 90.00
Each line ends with the local moment (μB).
Element x y z (fractional)
Se1 0.000 0.000 0.000  0.00
Cs1 0.500 0.000 0.000  0.00
Cs2 0.000 0.500 0.000  0.00
Cs3 0.000 0.000 0.500  0.00
V1 0.500 0.500 0.500  3.20

---

No. 7
First-principles (PBE) data for Cs3V5Se12 after structural relaxation, as listed in Alexandria.

Results
**Final energy**: -411.48 eV/cell
**Spin magnetization**: 4.0 μB per formula unit

Lattice parameters (Å, degrees): 14.465 14.465 14.465 109.47 109.47 109.47
Each line ends with the local moment (μB).
Element x y z (fractional)
Cs1 0.875 0.750 0.125  -0.01
Cs2 0.875 0.125 0.250  -0.01
Cs3 0.125 0.250 0.875  -0.01
Cs4 0.375 0.625 0.250  -0.01
Cs5 0.625 0.375 0.750  -0.01
Cs6 0.375 0.750 0.625  -0.01
Cs7 0.750 0.375 0.125  -0.01
Cs8 0.125 0.875 0.750  -0.01
Cs9 0.625 0.250 0.375  -0.01
Cs10 0.250 0.625 0.875  -0.01
Cs11 0.750 0.875 0.625  -0.01
Cs12 0.250 0.125 0.375  -0.01
V1 0.250 0.875 0.125  0.40
V2 0.500 0.500 0.500  1.83
V3 0.375 0.250 0.125  0.40
V4 0.750 0.625 0.375  0.40
V5 0.625 0.875 0.250  0.40
V6 0.875 0.625 0.750  0.40
V7 0.250 0.375 0.625  0.40
V8 0.625 0.750 0.875  0.40
V9 0.500 0.000 0.000  1.83
V10 0.125 0.375 0.250  0.40
V11 0.375 0.125 0.750  0.40
V12 0.000 0.500 0.500  1.83
V13 0.500 0.500 0.000  1.83
V14 0.875 0.250 0.625  0.40
V15 0.750 0.125 0.875  0.40
V16 0.000 0.000 0.000  1.83
V17 0.125 0.750 0.375  0.40
V18 0.500 0.000 0.500  1.83
V19 0.000 0.000 0.500  1.83
V20 0.000 0.500 0.000  1.83
Se1 0.310 0.493 0.397  -0.09
Se2 0.897 0.087 0.904  -0.09
Se3 0.913 0.103 0.596  -0.09
Se4 0.493 0.310 0.897  -0.09
Se5 0.183 0.493 0.596  -0.09
Se6 0.810 0.897 0.993  -0.09
Se7 0.183 0.690 0.087  -0.09
Se8 0.190 0.087 0.683  -0.09
Se9 0.404 0.007 0.817  -0.09
Se10 0.603 0.596 0.413  -0.09
Se11 0.596 0.993 0.183  -0.09
Se12 0.103 0.913 0.096  -0.09
Se13 0.310 0.817 0.413  -0.09
Se14 0.603 0.007 0.690  -0.09
Se15 0.690 0.183 0.587  -0.09
Se16 0.897 0.810 0.493  -0.09
Se17 0.683 0.096 0.993  -0.09
Se18 0.904 0.587 0.897  -0.09
Se19 0.007 0.603 0.190  -0.09
Se20 0.397 0.404 0.587  -0.09
Se21 0.817 0.310 0.913  -0.09
Se22 0.810 0.913 0.317  -0.09
Se23 0.587 0.683 0.690  -0.09
Se24 0.087 0.190 0.183  -0.09
Se25 0.690 0.507 0.603  -0.09
Se26 0.993 0.397 0.810  -0.09
Se27 0.904 0.317 0.507  -0.09
Se28 0.507 0.690 0.103  -0.09
Se29 0.993 0.596 0.683  -0.09
Se30 0.404 0.397 0.087  -0.09
Se31 0.817 0.507 0.404  -0.09
Se32 0.587 0.904 0.397  -0.09
Se33 0.317 0.413 0.810  -0.09
Se34 0.683 0.587 0.190  -0.09
Se35 0.096 0.413 0.103  -0.09
Se36 0.317 0.904 0.007  -0.09
Se37 0.413 0.096 0.603  -0.09
Se38 0.493 0.183 0.096  -0.09
Se39 0.190 0.103 0.007  -0.09
Se40 0.096 0.683 0.493  -0.09
Se41 0.596 0.603 0.913  -0.09
Se42 0.007 0.404 0.317  -0.09
Se43 0.507 0.817 0.904  -0.09
Se44 0.087 0.897 0.404  -0.09
Se45 0.103 0.190 0.507  -0.09
Se46 0.413 0.317 0.310  -0.09
Se47 0.397 0.993 0.310  -0.09
Se48 0.913 0.810 0.817  -0.09

---

No. 8
First-principles (PBE) data for CsV2Se2 after structural relaxation, as listed in Alexandria.

Results
**Final energy**: -29.14 eV/cell
**Spin magnetization**: 0.0 μB per formula unit

Lattice parameters (Å, degrees): 3.749 3.749 8.302 90.00 90.00 90.00
Element x y z (fractional)
Se1 0.500 0.500 0.289
Se2 0.500 0.500 0.711
V1 0.500 0.000 0.500
V2 0.000 0.500 0.500
Cs1 0.000 0.000 0.000

---

No. 9
First-principles (PBE) data for Cs7VSe6 after structural relaxation, as listed in Alexandria.

Results
**Final energy**: -101.94 eV/cell
**Spin magnetization**: 0.0 μB per formula unit

Lattice parameters (Å, degrees): 9.114 13.133 13.133 74.71 69.70 69.70
Element x y z (fractional)
Se1 0.969 0.099 0.267
Se2 0.531 0.233 0.401
Se3 0.031 0.901 0.733
Se4 0.469 0.767 0.599
Se5 0.334 0.733 0.901
Se6 0.166 0.599 0.767
Se7 0.927 0.334 0.666
Se8 0.573 0.834 0.166
Se9 0.427 0.166 0.834
Se10 0.666 0.267 0.099
Se11 0.834 0.401 0.233
Se12 0.073 0.666 0.334
Cs1 0.765 0.536 0.464
Cs2 0.224 0.841 0.404
Cs3 0.776 0.159 0.596
Cs4 0.969 0.659 0.096
Cs5 0.469 0.596 0.159
Cs6 0.235 0.464 0.536
Cs7 0.750 0.750 0.750
Cs8 0.735 0.036 0.964
Cs9 0.724 0.904 0.341
Cs10 0.276 0.096 0.659
Cs11 0.265 0.964 0.036
Cs12 0.531 0.404 0.841
Cs13 0.250 0.250 0.250
Cs14 0.031 0.341 0.904
V1 0.750 0.250 0.250
V2 0.250 0.750 0.750

---

No. 10
First-principles (PBE) data for CsV4Se8 after structural relaxation, as listed in Alexandria.

Results
**Final energy**: -75.75 eV/cell
**Spin magnetization**: 1.9 μB per formula unit

Lattice parameters (Å, degrees): 6.797 6.797 10.136 70.41 70.41 60.00
Each line ends with the local moment (μB).
Element x y z (fractional)
V1 0.000 0.500 0.000  0.92
V2 0.000 0.000 0.000  -0.69
V3 0.500 0.500 0.000  0.92
V4 0.500 0.000 0.000  0.92
Se1 0.779 0.779 0.167  -0.03
Se2 0.221 0.724 0.833  -0.03
Se3 0.221 0.221 0.833  -0.03
Se4 0.779 0.276 0.167  -0.03
Se5 0.724 0.221 0.833  -0.03
Se6 0.276 0.779 0.167  -0.03
Se7 0.278 0.278 0.167  -0.05
Se8 0.722 0.722 0.833  -0.05
Cs1 0.500 0.500 0.500  0.00

---

No. 11
First-principles (PBE) data for Cs5V2Se6 after structural relaxation, as listed in Alexandria.

Results
**Final energy**: -114.86 eV/cell
**Spin magnetization**: 1.0 μB per formula unit

Lattice parameters (Å, degrees): 8.230 8.230 18.309 79.47 79.47 65.19
Each line ends with the local moment (μB).
Element x y z (fractional)
Se1 0.798 0.655 0.062  -0.04
Se2 0.721 0.584 0.869  0.00
Se3 0.202 0.345 0.938  -0.04
Se4 0.584 0.721 0.369  0.00
Se5 0.000 0.855 0.877  -0.01
Se6 0.279 0.416 0.131  0.00
Se7 0.855 0.000 0.377  -0.01
Se8 0.416 0.279 0.631  0.00
Se9 0.145 0.000 0.623  -0.01
Se10 0.000 0.145 0.123  -0.01
Se11 0.655 0.798 0.562  -0.04
Se12 0.345 0.202 0.438  -0.04
Cs1 0.393 0.607 0.750  0.00
Cs2 0.084 0.232 0.779  0.00
Cs3 0.607 0.393 0.250  0.00
Cs4 0.807 0.325 0.503  0.00
Cs5 0.675 0.193 0.997  0.00
Cs6 0.193 0.675 0.497  0.00
Cs7 0.232 0.084 0.279  0.00
Cs8 0.768 0.916 0.721  0.00
Cs9 0.916 0.768 0.221  0.00
Cs10 0.325 0.807 0.003  0.00
V1 0.612 0.928 0.435  0.50
V2 0.072 0.388 0.065  0.50
V3 0.388 0.072 0.565  0.50
V4 0.928 0.612 0.935  0.50

---

No. 12
First-principles (PBE) data for CsV6Se8 after structural relaxation, as listed in Alexandria.

Results
**Final energy**: -94.24 eV/cell
**Spin magnetization**: 8.5 μB per formula unit

Lattice parameters (Å, degrees): 6.962 6.962 6.962 89.47 89.47 89.47
Each line ends with the local moment (μB).
Element x y z (fractional)
Se1 0.880 0.280 0.602  -0.03
Se2 0.398 0.120 0.720  -0.03
Se3 0.738 0.738 0.738  -0.03
Se4 0.280 0.602 0.880  -0.03
Se5 0.120 0.720 0.398  -0.03
Se6 0.262 0.262 0.262  -0.03
Se7 0.602 0.880 0.280  -0.03
Se8 0.720 0.398 0.120  -0.03
Cs1 0.000 0.000 0.000  0.01
V1 0.417 0.572 0.232  1.28
V2 0.768 0.583 0.428  1.28
V3 0.583 0.428 0.768  1.28
V4 0.232 0.417 0.572  1.28
V5 0.572 0.232 0.417  1.28
V6 0.428 0.768 0.583  1.28

---

No. 13
First-principles (PBE) data for CsVSe3 after structural relaxation, as listed in Alexandria.

Results
**Final energy**: -47.16 eV/cell
**Spin magnetization**: 2.0 μB per formula unit

Lattice parameters (Å, degrees): 8.138 8.377 6.299 81.67 72.64 60.94
Each line ends with the local moment (μB).
Element x y z (fractional)
Se1 0.574 0.183 0.436  -0.10
Se2 0.919 0.163 0.250  0.04
Se3 0.244 0.183 0.064  -0.10
Se4 0.426 0.817 0.564  -0.10
Se5 0.756 0.817 0.936  -0.10
Se6 0.081 0.837 0.750  0.04
Cs1 0.824 0.353 0.750  0.00
Cs2 0.176 0.647 0.250  0.00
V1 0.500 0.000 0.250  1.85
V2 0.500 0.000 0.750  1.85

---

No. 14
First-principles (PBE) data for Cs3VSe4 after structural relaxation, as listed in Alexandria.

Results
**Final energy**: -34.06 eV/cell
**Spin magnetization**: 0.0 μB per formula unit

Lattice parameters (Å, degrees): 7.543 7.543 7.543 109.47 109.47 109.47
Element x y z (fractional)
Cs1 0.500 0.500 0.000
Cs2 0.500 0.000 0.500
Cs3 0.000 0.500 0.500
Se1 0.306 0.000 0.000
Se2 0.000 0.000 0.306
Se3 0.694 0.694 0.694
Se4 0.000 0.306 0.000
V1 0.000 0.000 0.000

---

No. 15
First-principles (PBE) data for Cs3WSe4 after structural relaxation, as listed in Alexandria.

Results
**Energy above the lowest structure with this stoichiometry**: 0.15 eV per formula unit
**Spin magnetization**: 1.0 μB per formula unit

Lattice parameters (Å, degrees): 7.836 7.836 7.836 91.88 115.50 122.45
Each line ends with the local moment (μB).
Element x y z (fractional)
Se1 0.091 0.753 0.338  0.01
Se2 0.163 0.317 0.480  0.01
Se3 0.163 0.683 0.846  0.01
Se4 0.585 0.247 0.338  0.01
Cs1 0.993 0.000 0.993  0.01
Cs2 0.576 0.241 0.817  0.00
Cs3 0.576 0.759 0.335  0.00
W1 0.005 0.500 0.505  0.67

---

No. 16
First-principles (PBE) data for CsWSe3 after structural relaxation, as listed in Alexandria.

Results
**Energy above the lowest structure with this stoichiometry**: 13.32 eV per formula unit
**Spin magnetization**: 3.3 μB per formula unit

Lattice parameters (Å, degrees): 5.723 5.723 5.723 90.00 90.00 90.00
Each line ends with the local moment (μB).
Element x y z (fractional)
W1 0.500 0.500 0.500  3.41
Se1 0.000 0.000 0.500  -0.28
Se2 0.500 0.000 0.000  -0.25
Se3 0.000 0.500 0.000  -0.38
Cs1 0.000 0.000 0.000  0.00

---

No. 17
First-principles (PBE) data for CsWSe2 after structural relaxation, as listed in Alexandria.

Results
**Energy above the lowest structure with this stoichiometry**: 0.70 eV per formula unit
**Spin magnetization**: 0.2 μB per formula unit

Lattice parameters (Å, degrees): 10.344 10.344 10.344 19.95 19.95 19.95
Element x y z (fractional)
W1 0.500 0.500 0.500
Se1 0.885 0.885 0.885
Se2 0.115 0.115 0.115
Cs1 0.000 0.000 0.000